Entry 1:
Below is CrTc2Br after structural relaxation, with properties calculated at the PBE level.

abc: 6.183 6.183 6.183
angles: 90.00 90.00 90.00
Space group Fm-3m (No. 225)
One atom of each set of equivalent atoms:
Cr 0.000 0.000 0.000 (multiplicity 4)
Tc 0.250 0.250 0.250 (multiplicity 8)
Br 0.000 0.000 0.500 (multiplicity 4)

Output
Energy relative to the lowest polymorph listed for this composition ... 388.6 meV per atom
Uncorrected formation energy ... 855.4 meV per atom
Size of the total moment ... 2.0 μB/f.u.
Final energy ... -7.15 eV per atom

Entry 2:
Below is Zn2PtW after structural relaxation, with properties calculated at the PBE level.

abc: 5.507 8.277 2.669
angles: 90.00 90.00 90.00
Space group Cmmm (No. 65)
One atom of each set of equivalent atoms:
Zn 0.250 0.250 0.000 (multiplicity 4)
Pt 0.000 0.000 0.500 (multiplicity 2)
W 0.000 0.500 0.500 (multiplicity 2)

Output
Energy relative to the lowest polymorph listed for this composition ... 193.8 meV per atom
Size of the total moment ... 0.0 μB/f.u.
Final energy ... -5.30 eV per atom

Entry 3:
Below is Ac6PdRu2 after structural relaxation, with properties calculated at the PBE level.

abc: 15.798 4.314 10.023
angles: 90.00 95.86 90.00
Space group C2/m (No. 12)
One atom of each set of equivalent atoms:
Ac 0.056 0.000 0.303 (multiplicity 4)
Ac 0.140 0.500 0.986 (multiplicity 4)
Ac 0.215 0.000 0.656 (multiplicity 4)
Pd 0.000 0.000 0.000 (multiplicity 2)
Ru 0.207 0.000 0.189 (multiplicity 4)

Output
Energy relative to the lowest polymorph listed for this composition ... 89.6 meV per atom
Size of the total moment ... 0.0 μB/f.u.
Final energy ... -5.60 eV per atom

Entry 4:
Below is Ca6Tl2Ag after structural relaxation, with properties calculated at the PBE level.

abc: 10.275 10.275 5.403
angles: 90.00 90.00 90.00
Space group P4_2/mnm (No. 136)
One atom of each set of equivalent atoms:
Ca 0.034 0.304 0.000 (multiplicity 8)
Ca 0.118 0.882 0.500 (multiplicity 4)
Tl 0.212 0.212 0.500 (multiplicity 4)
Ag 0.000 0.000 0.000 (multiplicity 2)

Output
Energy relative to the lowest polymorph listed for this composition ... 0.0 meV per atom
Size of the total moment ... 0.0 μB/f.u.
Final energy ... -2.49 eV per atom

Entry 5:
Below is K2ZnRu after structural relaxation, with properties calculated at the PBE level.

abc: 7.481 4.309 9.269
angles: 90.00 104.33 90.00
Space group Cm (No. 8)
One atom of each set of equivalent atoms:
K 0.000 0.000 0.000 (multiplicity 2)
K 0.159 0.000 0.521 (multiplicity 2)
Zn 0.246 0.500 0.260 (multiplicity 2)
Ru 0.413 0.000 0.260 (multiplicity 2)

Output
Size of the total moment ... 0.5 μB/f.u.
Final energy ... -2.62 eV per atom

Entry 6:
Below is Hf2P2H after structural relaxation, with properties calculated at the PBE level.

abc: 3.538 12.785 6.982
angles: 90.00 90.00 90.00
Space group Cmc2_1 (No. 36)
One atom of each set of equivalent atoms:
Hf 0.000 0.070 0.000 (multiplicity 4)
Hf 0.000 0.349 0.907 (multiplicity 4)
P 0.000 0.280 0.557 (multiplicity 4)
P 0.000 0.464 0.221 (multiplicity 4)
H 0.000 0.083 0.430 (multiplicity 4)

Output
Size of the total moment ... 0.0 μB/f.u.
Final energy ... -7.68 eV per atom

Entry 7:
Below is Ba3PrTl2O6 after structural relaxation, with properties calculated at the PBE level.

abc: 6.4458 6.4458 7.1492
angles: 90.00 90.00 120.00
Space group P-3m1 (No. 164)
One atom of each set of equivalent atoms:
Ba 0.0000 0.0000 0.0000 (multiplicity 1)
Ba 0.3333 0.6667 0.6034 (multiplicity 2)
Pr 0.0000 0.0000 0.5000 (multiplicity 1)
Tl 0.3333 0.6667 0.1185 (multiplicity 2)
O 0.1692 0.3383 0.3054 (multiplicity 6)

Output
Uncorrected formation energy ... -2034.0 meV per atom
Size of the total moment ... 0.0 μB/f.u.
Final energy ... -5.79 eV per atom

Entry 8:
Below is TbYSe after structural relaxation, with properties calculated at the PBE level.

abc: 3.8652 3.8652 6.5487
angles: 90.00 90.00 120.00
Space group P3m1 (No. 156)
One atom of each set of equivalent atoms:
Tb 0.0000 0.0000 0.0000 (multiplicity 1)
Y 0.6667 0.3333 0.4420 (multiplicity 1)
Se 0.3333 0.6667 0.7198 (multiplicity 1)

Output
Energy relative to the lowest polymorph listed for this composition ... 0.0 meV per atom
Uncorrected formation energy ... -1130.5 meV per atom
Size of the total moment ... 0.0 μB/f.u.
Final energy ... -5.99 eV per atom

Entry 9:
Below is FeP2Br after structural relaxation, with properties calculated at the PBE level.

abc: 4.826 4.826 2.847
angles: 90.00 90.00 90.00
Space group P4/mmm (No. 123)
One atom of each set of equivalent atoms:
Fe 0.000 0.000 0.000 (multiplicity 1)
P 0.000 0.500 0.500 (multiplicity 2)
Br 0.500 0.500 0.000 (multiplicity 1)

Output
Energy relative to the lowest polymorph listed for this composition ... 1053.8 meV per atom
Uncorrected formation energy ... 961.0 meV per atom
Size of the total moment ... 3.3 μB/f.u.
Final energy ... -4.28 eV per atom

Entry 10:
Below is SrAg2Pb2 after structural relaxation, with properties calculated at the PBE level.

abc: 6.298 6.913 8.003
angles: 87.01 66.91 64.27
Space group P-1 (No. 2)
One atom of each set of equivalent atoms:
Sr 0.107 0.257 0.249 (multiplicity 2)
Ag 0.253 0.822 0.941 (multiplicity 2)
Ag 0.484 0.320 0.438 (multiplicity 2)
Pb 0.147 0.151 0.692 (multiplicity 2)
Pb 0.499 0.343 0.805 (multiplicity 2)

Output
Size of the total moment ... 0.0 μB/f.u.
Final energy ... -3.16 eV per atom

Entry 11:
Below is Mg3Cd7Ag after structural relaxation, with properties calculated at the PBE level.

abc: 3.087 28.876 13.316
angles: 90.00 90.00 90.00
Space group Cmcm (No. 63)
One atom of each set of equivalent atoms:
Mg 0.000 0.075 0.059 (multiplicity 8)
Mg 0.000 0.183 0.750 (multiplicity 4)
Cd 0.000 0.271 0.082 (multiplicity 8)
Cd 0.000 0.375 0.095 (multiplicity 8)
Cd 0.000 0.425 0.750 (multiplicity 4)
Cd 0.000 0.486 0.113 (multiplicity 8)
Ag 0.000 0.074 0.750 (multiplicity 4)

Output
Size of the total moment ... 0.0 μB/f.u.
Final energy ... -1.24 eV per atom

Entry 12:
Below is LaVCoC2 after structural relaxation, with properties calculated at the PBE level.

abc: 3.933 3.933 5.456
angles: 90.00 90.00 90.00
Space group P4/mmm (No. 123)
One atom of each set of equivalent atoms:
La 0.000 0.000 0.000 (multiplicity 1)
V 0.000 0.000 0.500 (multiplicity 1)
Co 0.500 0.500 0.000 (multiplicity 1)
C 0.000 0.500 0.500 (multiplicity 2)

Output
Size of the total moment ... 1.7 μB/f.u.
Final energy ... -6.41 eV per atom

Entry 13:
Below is Pm3SmIn2 after structural relaxation, with properties calculated at the PBE level.

abc: 5.325 10.074 6.850
angles: 90.00 90.00 90.00
Space group Pmc2_1 (No. 26)
One atom of each set of equivalent atoms:
Pm 0.000 0.039 0.000 (multiplicity 2)
Pm 0.000 0.323 0.340 (multiplicity 2)
Pm 0.500 0.178 0.725 (multiplicity 2)
Sm 0.500 0.461 0.065 (multiplicity 2)
In 0.000 0.356 0.820 (multiplicity 2)
In 0.500 0.145 0.246 (multiplicity 2)

Output
Energy relative to the lowest polymorph listed for this composition ... 0.0 meV per atom
Size of the total moment ... 0.0 μB/f.u.
Final energy ... -4.43 eV per atom

Entry 14:
Below is PmY3Ho2Se6 after structural relaxation, with properties calculated at the PBE level.

abc: 7.070 12.311 7.096
angles: 90.00 109.45 90.00
Space group C2/m (No. 12)
One atom of each set of equivalent atoms:
Pm 0.000 0.000 0.000 (multiplicity 2)
Y 0.000 0.160 0.500 (multiplicity 4)
Y 0.000 0.500 0.500 (multiplicity 2)
Ho 0.000 0.334 0.000 (multiplicity 4)
Se 0.241 0.500 0.248 (multiplicity 4)
Se 0.245 0.329 0.747 (multiplicity 8)

Output
Uncorrected formation energy ... -1764.0 meV per atom
Size of the total moment ... 0.0 μB/f.u.
Final energy ... -6.28 eV per atom

Entry 15:
Below is VGaSb2Pd after structural relaxation, with properties calculated at the PBE level.

abc: 5.218 5.218 4.584
angles: 90.00 90.00 90.00
Space group P4/mmm (No. 123)
One atom of each set of equivalent atoms:
V 0.000 0.000 0.000 (multiplicity 1)
Ga 0.500 0.500 0.500 (multiplicity 1)
Sb 0.000 0.500 0.500 (multiplicity 2)
Pd 0.500 0.500 0.000 (multiplicity 1)

Output
Uncorrected formation energy ... 943.7 meV per atom
Size of the total moment ... 0.1 μB/f.u.
Final energy ... -4.17 eV per atom

Entry 16:
Below is SrThNpN4 after structural relaxation, with properties calculated at the PBE level.

abc: 4.195 4.195 12.894
angles: 90.00 90.00 90.00
Space group I4mm (No. 107)
One atom of each set of equivalent atoms:
Sr 0.000 0.000 0.000 (multiplicity 2)
Th 0.000 0.000 0.297 (multiplicity 2)
Np 0.000 0.000 0.646 (multiplicity 2)
N 0.000 0.000 0.472 (multiplicity 2)
N 0.000 0.000 0.811 (multiplicity 2)
N 0.000 0.500 0.164 (multiplicity 4)

Output
Uncorrected formation energy ... -1151.3 meV per atom
Size of the total moment ... 1.0 μB/f.u.
Final energy ... -9.06 eV per atom

Entry 17:
Below is KBaTeAu after structural relaxation, with properties calculated at the PBE level.

abc: 8.246 8.246 8.246
angles: 90.00 90.00 90.00
Space group F-43m (No. 216)
One atom of each set of equivalent atoms:
K 0.000 0.000 0.000 (multiplicity 4)
Ba 0.000 0.000 0.500 (multiplicity 4)
Te 0.250 0.250 0.750 (multiplicity 4)
Au 0.250 0.250 0.250 (multiplicity 4)

Output
Uncorrected formation energy ... -1004.7 meV per atom
Size of the total moment ... 0.0 μB/f.u.
Final energy ... -3.36 eV per atom

Entry 18:
Below is KZnCo2 after structural relaxation, with properties calculated at the PBE level.

abc: 3.017 3.017 7.967
angles: 90.00 90.00 90.00
Space group P4mm (No. 99)
One atom of each set of equivalent atoms:
K 0.000 0.000 0.000 (multiplicity 1)
Zn 0.500 0.500 0.353 (multiplicity 1)
Co 0.000 0.000 0.542 (multiplicity 1)
Co 0.500 0.500 0.673 (multiplicity 1)

Output
Size of the total moment ... 3.3 μB/f.u.
Final energy ... -3.71 eV per atom

Entry 19:
Below is Cr4TcAg after structural relaxation, with properties calculated at the PBE level.

abc: 6.785 6.785 6.785
angles: 90.00 90.00 90.00
Space group F-43m (No. 216)
One atom of each set of equivalent atoms:
Cr 0.124 0.124 0.376 (multiplicity 16)
Tc 0.000 0.000 0.000 (multiplicity 4)
Ag 0.250 0.250 0.750 (multiplicity 4)

Output
Size of the total moment ... 0.0 μB/f.u.
Final energy ... -8.37 eV per atom

Entry 20:
Below is LaTlAu after structural relaxation, with properties calculated at the PBE level.

abc: 5.3156 5.3156 6.6028
angles: 90.00 90.00 120.00
Space group P6_3/mmc (No. 194)
One atom of each set of equivalent atoms:
La 0.3333 0.6667 0.2500 (multiplicity 2)
Tl 0.0000 0.0000 0.0000 (multiplicity 2)
Au 0.3333 0.6667 0.7500 (multiplicity 2)

Output
Size of the total moment ... 0.0 μB/f.u.
Final energy ... -4.18 eV per atom